No. 1
Th2Ga3Cu2 | PBE | relaxed

Summary:
Total energy: -5.050 eV/atom
Crystal system: orthorhombic
Calculated volume: 20.29 Å³/atom

abc: 4.393 6.900 9.623
angles: 90.00 103.19 90.00
Sites, in units of the cell vectors:
Ga  0.562  0.069  0.124
Th  0.050  0.750  0.100
Ga  0.438  0.931  0.876
Th  0.162  0.250  0.323
Cu  0.686  0.934  0.372
Cu  0.686  0.566  0.372
Th  0.950  0.250  0.900
Ga  0.221  0.750  0.441
Cu  0.314  0.434  0.628
Th  0.838  0.750  0.677
Cu  0.314  0.066  0.628
Ga  0.562  0.431  0.124
Ga  0.438  0.569  0.876
Ga  0.779  0.250  0.559

No. 2
Th4Ga12Cu | PBE | relaxed

Summary:
Total energy: -4.595 eV/atom
Crystal system: cubic
Calculated volume: 20.56 Å³/atom

abc: 7.686 7.686 7.686
angles: 109.47 109.47 109.47
Sites, in units of the cell vectors:
Th  0.000  0.500  0.000
Ga  0.700  0.000  0.700
Ga  0.000  0.700  0.700
Ga  0.300  0.300  0.000
Ga  0.500  0.250  0.750
Ga  0.300  0.000  0.300
Th  0.500  0.000  0.000
Ga  0.700  0.700  0.000
Ga  0.500  0.750  0.250
Th  0.000  0.000  0.500
Cu  0.000  0.000  0.000
Ga  0.750  0.500  0.250
Ga  0.750  0.250  0.500
Th  0.500  0.500  0.500
Ga  0.250  0.750  0.500
Ga  0.250  0.500  0.750
Ga  0.000  0.300  0.300

No. 3
Th3Ga3Cu | PBE | relaxed

Summary:
Total energy: -5.533 eV/atom
Crystal system: monoclinic
Calculated volume: 23.58 Å³/atom

abc: 4.428 5.921 13.762
angles: 84.73 80.74 68.04
Sites, in units of the cell vectors:
Th  0.395  0.290  0.921
Th  0.605  0.710  0.079
Th  0.461  0.694  0.384
Cu  0.752  0.102  0.394
Ga  0.863  0.730  0.545
Th  0.252  0.270  0.225
Th  0.539  0.306  0.616
Th  0.748  0.730  0.775
Ga  0.957  0.851  0.235
Ga  0.043  0.149  0.765
Cu  0.248  0.898  0.606
Ga  0.891  0.143  0.075
Ga  0.137  0.270  0.455
Ga  0.109  0.857  0.925

No. 4
Th2GaCu2 | PBE | relaxed

Summary:
Total energy: -5.483 eV/atom
Crystal system: monoclinic
Calculated volume: 21.33 Å³/atom

abc: 5.677 5.772 7.676
angles: 101.42 90.00 119.45
Sites, in units of the cell vectors:
Th  0.773  0.291  0.644
Th  0.518  0.291  0.144
Th  0.227  0.709  0.356
Th  0.482  0.709  0.856
Cu  0.268  0.271  0.498
Ga  0.149  0.000  0.750
Cu  0.732  0.729  0.502
Cu  0.003  0.271  0.998
Ga  0.851  0.000  0.250
Cu  0.997  0.729  0.002

No. 5
Th2GaCu | PBE | relaxed

Summary:
Total energy: -5.782 eV/atom
Crystal system: monoclinic
Calculated volume: 24.43 Å³/atom

abc: 4.112 6.020 8.432
angles: 110.56 90.00 90.00
Sites, in units of the cell vectors:
Cu  0.750  0.620  0.281
Ga  0.750  0.650  0.790
Th  0.750  0.209  0.439
Th  0.250  0.791  0.561
Cu  0.250  0.380  0.719
Th  0.750  0.206  0.911
Th  0.250  0.794  0.089
Ga  0.250  0.350  0.210

No. 6
ThGa2Cu | PBE | relaxed

Summary:
Total energy: -4.822 eV/atom
Crystal system: trigonal
Calculated volume: 20.10 Å³/atom

abc: 4.195 4.195 5.806
angles: 68.82 68.82 60.00
Sites, in units of the cell vectors:
Cu  0.500  0.500  0.500
Ga  0.213  0.213  0.362
Ga  0.787  0.787  0.638
Th  0.000  0.000  0.000

no.,formation enthalpy at 0 K (meV per atom)
1,-463
2,-472
3,-471
4,-271
5,-291
6,-429